# SrCrBr, relaxed, DFT PBE
# Space-group type: P3m1 (156)
# Total DFT energy (no corrections) in eV/atom: -4.437
# Distance to the lowest polymorph of the same formula in eV/f.u.: 0.04
# Uncorrected formation energy in eV/atom: -0.111
data_SrCrBr
_space_group_name_H-M_alt 'P 1'
_space_group_IT_number 1
_cell_length_a 4.214
_cell_length_b 4.214
_cell_length_c 6.577
_cell_angle_alpha 90.00
_cell_angle_beta 90.00
_cell_angle_gamma 120.00
loop_
_space_group_symop_operation_xyz
'x,y,z'
loop_
_atom_site_label
_atom_site_fract_x
_atom_site_fract_y
_atom_site_fract_z
_atom_site_occupancy
Br1 0.000 0.000 0.997 1
Cr1 0.667 0.333 0.318 1
Sr1 0.333 0.667 0.684 1